Material: GdMgRh
Method: DFT, PBE
State: optimized geometry

Cell lengths 4.5171, 4.5171, 3.6686 Å; angles 90.00, 90.00, 120.00 degrees
Fractional positions:
Gd 0.0000 0.0000 0.0000
Mg 0.6667 0.3333 0.4999
Rh 0.3333 0.6667 0.5013

- Crystal system: trigonal
- ΔE_f: -0.414 eV per atom
- Space group: P3m1